<i>
## SrTc3Hg (PBE)

Data for a geometry-optimized SrTc3Hg structure.

Cell and atoms, written as CIF:
```
data_SrTc3Hg
_chemical_formula_sum 'Sr1 Tc3 Hg1'
_cell_length_a 4.832
_cell_length_b 4.832
_cell_length_c 4.832
_cell_angle_alpha 90.00
_cell_angle_beta 90.00
_cell_angle_gamma 90.00
_symmetry_space_group_name_H-M 'P m -3 m'
_symmetry_Int_Tables_number 221
_symmetry_space_group_name_Hall '-P 4 2 3'
loop_
_atom_site_label
_atom_site_type_symbol
_atom_site_fract_x
_atom_site_fract_y
_atom_site_fract_z
Sr1 Sr 0.000 0.000 0.000
Tc1 Tc 0.000 0.000 0.500
Hg1 Hg 0.500 0.500 0.500
```


<ii>
## SrTc3Hg (PBE)

Data for a geometry-optimized SrTc3Hg structure.

Cell and atoms, written as CIF:
```
data_SrTc3Hg
_chemical_formula_sum 'Sr1 Tc3 Hg1'
_cell_length_a 5.165
_cell_length_b 5.165
_cell_length_c 5.165
_cell_angle_alpha 90.00
_cell_angle_beta 90.00
_cell_angle_gamma 90.00
_symmetry_space_group_name_H-M 'P m -3 m'
_symmetry_Int_Tables_number 221
_symmetry_space_group_name_Hall '-P 4 2 3'
loop_
_atom_site_label
_atom_site_type_symbol
_atom_site_fract_x
_atom_site_fract_y
_atom_site_fract_z
Sr1 Sr 0.000 0.000 0.000
Tc1 Tc 0.000 0.500 0.500
Hg1 Hg 0.500 0.500 0.500
```


The most stable arrangement is <ii>, and the next structure is 861 meV/atom less stable.


<i>
## SrTcHg (PBE)

Data for a geometry-optimized SrTcHg structure.

Cell and atoms, written as CIF:
```
data_SrTcHg
_chemical_formula_sum 'Sr1 Tc1 Hg1'
_cell_length_a 3.3629
_cell_length_b 3.3629
_cell_length_c 7.3757
_cell_angle_alpha 90.00
_cell_angle_beta 90.00
_cell_angle_gamma 120.00
_symmetry_space_group_name_H-M 'P 3 m 1'
_symmetry_Int_Tables_number 156
_symmetry_space_group_name_Hall 'P 3 -2"'
loop_
_atom_site_label
_atom_site_type_symbol
_atom_site_fract_x
_atom_site_fract_y
_atom_site_fract_z
Sr1 Sr 0.0000 0.0000 0.0000
Tc1 Tc 0.6667 0.3333 0.3288
Hg1 Hg 0.3333 0.6667 0.6231
```


<ii>
## SrTcHg (PBE)

Data for a geometry-optimized SrTcHg structure.

Cell and atoms, written as CIF:
```
data_SrTcHg
_chemical_formula_sum 'Sr2 Tc2 Hg2'
_cell_length_a 3.676
_cell_length_b 3.676
_cell_length_c 10.970
_cell_angle_alpha 90.00
_cell_angle_beta 90.00
_cell_angle_gamma 90.00
_symmetry_space_group_name_H-M 'I 4 m m'
_symmetry_Int_Tables_number 107
_symmetry_space_group_name_Hall 'I 4 -2'
loop_
_atom_site_label
_atom_site_type_symbol
_atom_site_fract_x
_atom_site_fract_y
_atom_site_fract_z
Sr1 Sr 0.000 0.000 0.000
Tc1 Tc 0.000 0.000 0.704
Hg1 Hg 0.000 0.000 0.291
```


<iii>
## SrTcHg (PBE)

Data for a geometry-optimized SrTcHg structure.

Cell and atoms, written as CIF:
```
data_SrTcHg
_chemical_formula_sum 'Sr1 Tc1 Hg1'
_cell_length_a 4.8914
_cell_length_b 4.8914
_cell_length_c 3.7268
_cell_angle_alpha 90.00
_cell_angle_beta 90.00
_cell_angle_gamma 120.00
_symmetry_space_group_name_H-M 'P -6 m 2'
_symmetry_Int_Tables_number 187
_symmetry_space_group_name_Hall 'P -6 2'
loop_
_atom_site_label
_atom_site_type_symbol
_atom_site_fract_x
_atom_site_fract_y
_atom_site_fract_z
Sr1 Sr 0.0000 0.0000 0.0000
Tc1 Tc 0.6667 0.3333 0.5000
Hg1 Hg 0.3333 0.6667 0.5000
```


The most stable arrangement is <iii>, and the next structure is 12 meV/atom less stable.


<i>
## SrTcHg (PBE)

Data for a geometry-optimized SrTcHg structure.

Cell and atoms, written as CIF:
```
data_SrTcHg
_chemical_formula_sum 'Sr4 Tc4 Hg4'
_cell_length_a 6.969
_cell_length_b 6.969
_cell_length_c 6.969
_cell_angle_alpha 90.00
_cell_angle_beta 90.00
_cell_angle_gamma 90.00
_symmetry_space_group_name_H-M 'F -4 3 m'
_symmetry_Int_Tables_number 216
_symmetry_space_group_name_Hall 'F -4 2 3'
loop_
_atom_site_label
_atom_site_type_symbol
_atom_site_fract_x
_atom_site_fract_y
_atom_site_fract_z
Sr1 Sr 0.000 0.000 0.000
Tc1 Tc 0.250 0.250 0.750
Hg1 Hg 0.000 0.000 0.500
```


<ii>
## SrTcHg (PBE)

Data for a geometry-optimized SrTcHg structure.

Cell and atoms, written as CIF:
```
data_SrTcHg
_chemical_formula_sum 'Sr4 Tc4 Hg4'
_cell_length_a 7.274
_cell_length_b 7.274
_cell_length_c 7.274
_cell_angle_alpha 90.00
_cell_angle_beta 90.00
_cell_angle_gamma 90.00
_symmetry_space_group_name_H-M 'F -4 3 m'
_symmetry_Int_Tables_number 216
_symmetry_space_group_name_Hall 'F -4 2 3'
loop_
_atom_site_label
_atom_site_type_symbol
_atom_site_fract_x
_atom_site_fract_y
_atom_site_fract_z
Sr1 Sr 0.000 0.000 0.000
Tc1 Tc 0.250 0.250 0.750
Hg1 Hg 0.250 0.250 0.250
```


The most stable arrangement is <i>, and the next structure is 424 meV/atom less stable.


<i>
## SrTcHg3 (PBE)

Data for a geometry-optimized SrTcHg3 structure.

Cell and atoms, written as CIF:
```
data_SrTcHg3
_chemical_formula_sum 'Sr1 Tc1 Hg3'
_cell_length_a 6.037
_cell_length_b 6.037
_cell_length_c 6.037
_cell_angle_alpha 90.00
_cell_angle_beta 90.00
_cell_angle_gamma 90.00
_symmetry_space_group_name_H-M 'P m -3 m'
_symmetry_Int_Tables_number 221
_symmetry_space_group_name_Hall '-P 4 2 3'
loop_
_atom_site_label
_atom_site_type_symbol
_atom_site_fract_x
_atom_site_fract_y
_atom_site_fract_z
Sr1 Sr 0.000 0.000 0.000
Tc1 Tc 0.500 0.500 0.500
Hg1 Hg 0.000 0.000 0.500
```


<ii>
## SrTcHg3 (PBE)

Data for a geometry-optimized SrTcHg3 structure.

Cell and atoms, written as CIF:
```
data_SrTcHg3
_chemical_formula_sum 'Sr1 Tc1 Hg3'
_cell_length_a 5.270
_cell_length_b 5.270
_cell_length_c 5.270
_cell_angle_alpha 90.00
_cell_angle_beta 90.00
_cell_angle_gamma 90.00
_symmetry_space_group_name_H-M 'P m -3 m'
_symmetry_Int_Tables_number 221
_symmetry_space_group_name_Hall '-P 4 2 3'
loop_
_atom_site_label
_atom_site_type_symbol
_atom_site_fract_x
_atom_site_fract_y
_atom_site_fract_z
Sr1 Sr 0.000 0.000 0.000
Tc1 Tc 0.500 0.500 0.500
Hg1 Hg 0.000 0.500 0.500
```


The most stable arrangement is <ii>, and the next structure is 1072 meV/atom less stable.


<i>
## Sr2HgTe (PBE)

Data for a geometry-optimized Sr2HgTe structure.

Cell and atoms, written as CIF:
```
data_Sr2HgTe
_chemical_formula_sum 'Sr4 Hg2 Te2'
_cell_length_a 4.312
_cell_length_b 4.536
_cell_length_c 15.661
_cell_angle_alpha 90.00
_cell_angle_beta 90.00
_cell_angle_gamma 90.00
_symmetry_space_group_name_H-M 'I m m 2'
_symmetry_Int_Tables_number 44
_symmetry_space_group_name_Hall 'I 2 -2'
loop_
_atom_site_label
_atom_site_type_symbol
_atom_site_fract_x
_atom_site_fract_y
_atom_site_fract_z
Sr1 Sr 0.000 0.000 0.000
Sr2 Sr 0.000 0.500 0.247
Hg1 Hg 0.000 0.500 0.832
Te1 Te 0.000 0.000 0.579
```


<ii>
## Sr2HgTe (PBE)

Data for a geometry-optimized Sr2HgTe structure.

Cell and atoms, written as CIF:
```
data_Sr2HgTe
_chemical_formula_sum 'Sr4 Hg2 Te2'
_cell_length_a 4.945
_cell_length_b 4.538
_cell_length_c 12.673
_cell_angle_alpha 90.00
_cell_angle_beta 90.00
_cell_angle_gamma 90.00
_symmetry_space_group_name_H-M 'A m m 2'
_symmetry_Int_Tables_number 38
_symmetry_space_group_name_Hall 'A 2 -2'
loop_
_atom_site_label
_atom_site_type_symbol
_atom_site_fract_x
_atom_site_fract_y
_atom_site_fract_z
Sr1 Sr 0.000 0.000 0.000
Sr2 Sr 0.500 0.000 0.263
Hg1 Hg 0.500 0.000 0.522
Te1 Te 0.000 0.000 0.729
```


The most stable arrangement is <ii>, and the next structure is 21 meV/atom less stable.


<i>
## Sr2HgTe (PBE)

Data for a geometry-optimized Sr2HgTe structure.

Cell and atoms, written as CIF:
```
data_Sr2HgTe
_chemical_formula_sum 'Sr4 Hg2 Te2'
_cell_length_a 8.040
_cell_length_b 8.029
_cell_length_c 4.113
_cell_angle_alpha 90.00
_cell_angle_beta 90.13
_cell_angle_gamma 90.00
_symmetry_space_group_name_H-M 'C 1 2/m 1'
_symmetry_Int_Tables_number 12
_symmetry_space_group_name_Hall '-C 2y'
loop_
_atom_site_label
_atom_site_type_symbol
_atom_site_fract_x
_atom_site_fract_y
_atom_site_fract_z
Sr1 Sr 0.250 0.250 0.000
Hg1 Hg 0.000 0.000 0.500
Te1 Te 0.000 0.500 0.500
```


<ii>
## Sr2HgTe (PBE)

Data for a geometry-optimized Sr2HgTe structure.

Cell and atoms, written as CIF:
```
data_Sr2HgTe
_chemical_formula_sum 'Sr8 Hg4 Te4'
_cell_length_a 8.747
_cell_length_b 8.747
_cell_length_c 8.258
_cell_angle_alpha 90.00
_cell_angle_beta 90.00
_cell_angle_gamma 90.00
_symmetry_space_group_name_H-M 'I -4 2 d'
_symmetry_Int_Tables_number 122
_symmetry_space_group_name_Hall 'I -4 2bw'
loop_
_atom_site_label
_atom_site_type_symbol
_atom_site_fract_x
_atom_site_fract_y
_atom_site_fract_z
Sr1 Sr 0.247 0.250 0.125
Hg1 Hg 0.000 0.000 0.500
Te1 Te 0.000 0.000 0.000
```


The most stable arrangement is <i>, and the next structure is 126 meV/atom less stable.